[1]
A geometry-optimized Na2HgOs structure, computed with PBE.

Cell: 6.4059 6.4059 6.4059 Å, 100.43 100.43 129.63°
Element x y z (fractional)
1 Na 0.1242 0.1250 0.4992
2 Na 0.3750 0.8758 0.0008
3 Na 0.6258 0.6250 0.5008
4 Na 0.8750 0.3742 0.9992
5 Hg 0.2500 0.7500 0.5000
6 Hg 0.5000 0.5000 0.0000
7 Os 0.0000 0.0000 0.0000
8 Os 0.7500 0.2500 0.5000

The value obtained for the volume is 22.90 Å³/atom. The formation energy from the elements is 987.7 meV per atom.

***

[2]
A geometry-optimized EuPaIr structure, computed with PBE.

Cell: 4.5215 4.5215 4.6255 Å, 90.00 90.00 120.00°
Element x y z (fractional)
1 Eu 0.0000 0.0000 0.0000
2 Pa 0.6667 0.3333 0.4664
3 Ir 0.3333 0.6667 0.5570

The value obtained for the volume is 27.30 Å³/atom. For the distance to the lowest polymorph of the same formula, the calculation gives 0.229 eV/atom. The formation energy from the elements is -145.0 meV per atom.

***

[3]
A geometry-optimized HfAl6Ga structure, computed with PBE.

Cell: 5.6448 5.6448 4.8726 Å, 90.00 90.00 117.17°
Element x y z (fractional)
1 Hf 0.0000 0.0000 0.0000
2 Al 0.0000 0.5000 0.0000
3 Al 0.2244 0.7756 0.5000
4 Al 0.2778 0.2778 0.5000
5 Al 0.5000 0.0000 0.0000
6 Al 0.7222 0.7222 0.5000
7 Al 0.7756 0.2244 0.5000
8 Ga 0.5000 0.5000 0.0000

The value obtained for the volume is 17.27 Å³/atom. For the distance to the lowest polymorph of the same formula, the calculation gives 0.000 eV/atom. The formation energy from the elements is -117.9 meV per atom.

***

[4]
A geometry-optimized HfTiRe2 structure, computed with PBE.

Cell: 3.2004 3.2004 6.3929 Å, 90.00 90.00 90.00°
Element x y z (fractional)
1 Hf 0.0000 0.0000 0.0000
2 Ti 0.0000 0.0000 0.5000
3 Re 0.5000 0.5000 0.2629
4 Re 0.5000 0.5000 0.7371

The value obtained for the volume is 16.37 Å³/atom. For the distance to the lowest polymorph of the same formula, the calculation gives 0.000 eV/atom. The formation energy from the elements is -326.5 meV per atom.

***

The evaluated magnetization for the records listed, in turn: 1.71; 7.28; 0.00; 0.00 μB/f.u..